1.
# ReSi2Sb (PBE, relaxed)
data_ReSi2Sb
_cell_length_a 4.269
_cell_length_b 3.515
_cell_length_c 4.937
_cell_angle_alpha 69.14
_cell_angle_beta 90.00
_cell_angle_gamma 90.00
_symmetry_space_group_name_H-M 'P 1'
_symmetry_Int_Tables_number 1
loop_
_symmetry_equiv_pos_as_xyz
'x,y,z'
loop_
_atom_site_label
_atom_site_fract_x
_atom_site_fract_y
_atom_site_fract_z
Sb1 0.500 0.720 0.686
Re1 0.000 0.315 0.496
Si1 0.500 0.449 0.227
Si2 0.000 0.017 0.091
# SG: Amm2 (38)
# E_tot in eV per cell: -26.32



2.
# ScCrRe4 (PBE, relaxed)
data_ScCrRe4
_cell_length_a 5.219
_cell_length_b 5.219
_cell_length_c 5.219
_cell_angle_alpha 60.00
_cell_angle_beta 60.00
_cell_angle_gamma 60.00
_symmetry_space_group_name_H-M 'P 1'
_symmetry_Int_Tables_number 1
loop_
_symmetry_equiv_pos_as_xyz
'x,y,z'
loop_
_atom_site_label
_atom_site_fract_x
_atom_site_fract_y
_atom_site_fract_z
Re1 0.375 0.375 0.375
Sc1 0.750 0.750 0.750
Re2 0.375 0.876 0.375
Cr1 0.000 0.000 0.000
Re3 0.375 0.375 0.876
Re4 0.876 0.375 0.375
# DFT formation energy in eV per atom: 0.106
# SG: F-43m (216)